Li3Ho2MnS6: optimized geometry, PBE.

The space group is C2/m (No. 12) and the conventional cell measures 6.529, 11.374 and 6.477 Å, with angles of 90.00, 109.19 and 90.00 degrees. The inequivalent atoms are Li at (0.000, 0.000, 0.000), Li at (0.000, 0.338, 0.000), Ho at (0.000, 0.169, 0.500), Mn at (0.000, 0.500, 0.500), S at (0.225, 0.500, 0.267) and S at (0.242, 0.343, 0.750).

The value obtained for the formation energy from raw total energies is -1.48 eV per atom.

Li2HoMnS4: optimized geometry, PBE.

The space group is P2/m (No. 10) and the conventional cell measures 6.378, 3.751 and 6.458 Å, with angles of 90.00, 109.05 and 90.00 degrees. The inequivalent atoms are Li at (0.000, 0.000, 0.000), Li at (0.500, 0.500, 0.000), Ho at (0.000, 0.500, 0.500), Mn at (0.500, 0.000, 0.500), S at (0.271, 0.500, 0.260) and S at (0.274, 0.000, 0.742).

The value obtained for the formation energy from raw total energies is -1.31 eV per atom.

LiHoScMn: optimized geometry, PBE.

The space group is F-43m (No. 216) and the conventional cell measures 6.865, 6.865 and 6.865 Å, with angles of 90.00, 90.00 and 90.00 degrees. The inequivalent atoms are Li at (0.000, 0.000, 0.000), Ho at (0.250, 0.250, 0.250), Sc at (0.250, 0.250, 0.750) and Mn at (0.000, 0.000, 0.500).

The value obtained for the energy relative to the elements is 0.476 eV per formula unit.

Li2HoMnSe4: optimized geometry, PBE.

The space group is P2/m (No. 10) and the conventional cell measures 6.699, 3.918 and 6.793 Å, with angles of 90.00, 109.00 and 90.00 degrees. The inequivalent atoms are Li at (0.000, 0.000, 0.000), Li at (0.500, 0.500, 0.000), Ho at (0.000, 0.500, 0.500), Mn at (0.500, 0.000, 0.500), Se at (0.271, 0.000, 0.746) and Se at (0.271, 0.500, 0.259).

The value obtained for the formation energy from raw total energies is -1.18 eV per atom.

LiSmHoMn: optimized geometry, PBE.

The space group is F-43m (No. 216) and the conventional cell measures 7.165, 7.165 and 7.165 Å, with angles of 90.00, 90.00 and 90.00 degrees. The inequivalent atoms are Li at (0.000, 0.000, 0.000), Sm at (0.250, 0.250, 0.250), Ho at (0.250, 0.250, 0.750) and Mn at (0.000, 0.000, 0.500).

The value obtained for the energy relative to the elements is 0.542 eV per formula unit.

LiHoMnSn: optimized geometry, PBE.

The space group is F-43m (No. 216) and the conventional cell measures 6.728, 6.728 and 6.728 Å, with angles of 90.00, 90.00 and 90.00 degrees. The inequivalent atoms are Li at (0.000, 0.000, 0.000), Ho at (0.250, 0.250, 0.250), Mn at (0.000, 0.000, 0.500) and Sn at (0.250, 0.250, 0.750).

The value obtained for the energy relative to the elements is -0.770 eV per formula unit.

- What is the formula in the fifth record?
  LiSmHoMn